Version w
# LaZr2P2 PBE optimized geometry
data_LaZr2P2
_cell_length_a 5.847
_cell_length_b 5.847
_cell_length_c 5.847
_cell_angle_alpha 129.97
_cell_angle_beta 129.97
_cell_angle_gamma 73.46
_space_group_name_H-M_alt 'P 1'
_space_group_IT_number 1
_space_group_name_Hall 'P 1'
loop_
_atom_site_label
_atom_site_fract_x
_atom_site_fract_y
_atom_site_fract_z
_atom_site_occupancy
La1 0.000 0.000 0.000 1
Zr1 0.341 0.341 0.000 1
Zr2 0.659 0.659 0.000 1
P1 0.250 0.750 0.500 1
P2 0.750 0.250 0.500 1
# * space group: No. 139

***

Version x
# LaZr2P2 PBE optimized geometry
data_LaZr2P2
_cell_length_a 7.581
_cell_length_b 7.581
_cell_length_c 3.512
_cell_angle_alpha 90.00
_cell_angle_beta 90.00
_cell_angle_gamma 90.00
_space_group_name_H-M_alt 'P 1'
_space_group_IT_number 1
_space_group_name_Hall 'P 1'
loop_
_atom_site_label
_atom_site_fract_x
_atom_site_fract_y
_atom_site_fract_z
_atom_site_occupancy
La1 0.000 0.000 0.000 1
La2 0.500 0.500 0.000 1
Zr1 0.151 0.349 0.500 1
Zr2 0.349 0.849 0.500 1
Zr3 0.651 0.151 0.500 1
Zr4 0.849 0.651 0.500 1
P1 0.134 0.634 0.000 1
P2 0.366 0.134 0.000 1
P3 0.634 0.866 0.000 1
P4 0.866 0.366 0.000 1
# * space group: No. 127

***

version x is favored, and the nearest alternative lies 134 meV/atom above it.

***

Version w
# La2Zr2P PBE optimized geometry
data_La2Zr2P
_cell_length_a 6.973
_cell_length_b 6.973
_cell_length_c 5.436
_cell_angle_alpha 90.00
_cell_angle_beta 90.00
_cell_angle_gamma 90.00
_space_group_name_H-M_alt 'P 1'
_space_group_IT_number 1
_space_group_name_Hall 'P 1'
loop_
_atom_site_label
_atom_site_fract_x
_atom_site_fract_y
_atom_site_fract_z
_atom_site_occupancy
La1 0.158 0.342 0.000 1
La2 0.342 0.842 0.000 1
La3 0.658 0.158 0.000 1
La4 0.842 0.658 0.000 1
Zr1 0.159 0.659 0.500 1
Zr2 0.341 0.159 0.500 1
Zr3 0.659 0.841 0.500 1
Zr4 0.841 0.341 0.500 1
P1 0.000 0.000 0.500 1
P2 0.500 0.500 0.500 1
# * space group: No. 127

***

Version x
# La2Zr2P PBE optimized geometry
data_La2Zr2P
_cell_length_a 8.631
_cell_length_b 8.631
_cell_length_c 8.631
_cell_angle_alpha 153.31
_cell_angle_beta 153.31
_cell_angle_gamma 38.10
_space_group_name_H-M_alt 'P 1'
_space_group_IT_number 1
_space_group_name_Hall 'P 1'
loop_
_atom_site_label
_atom_site_fract_x
_atom_site_fract_y
_atom_site_fract_z
_atom_site_occupancy
La1 0.250 0.750 0.500 1
La2 0.750 0.250 0.500 1
Zr1 0.076 0.076 0.000 1
Zr2 0.924 0.924 0.000 1
P1 0.500 0.500 0.000 1
# * space group: No. 139

***

version w is favored, and the nearest alternative lies 899 meV/atom above it.